Entry 1:
A relaxed BiPd3Pt2 crystal, computed with PBE.

Cell lengths 7.5908, 7.5908, 5.2996 Å; angles 90.00, 90.00, 136.06 degrees
Last column: nearest neighbours and their distance in Å.
Element x y z (fractional)
1 Bi 0.1521 0.8479 0.7500  8 Pd 2.82-3.03, 4 Pt 2.92
2 Bi 0.8479 0.1521 0.2500  8 Pd 2.82-3.03, 4 Pt 2.92
3 Pd 0.0768 0.4254 0.7500  2 Pt 2.79, 3 Bi 2.82-3.03, 5 Pd 2.83-3.02
4 Pd 0.3479 0.6521 0.2500  6 Pd 2.83-3.02, 2 Bi 2.84, 4 Pt 2.87
5 Pd 0.4254 0.0768 0.2500  2 Pt 2.79, 3 Bi 2.82-3.03, 5 Pd 2.83-3.02
6 Pd 0.5746 0.9232 0.7500  2 Pt 2.79, 3 Bi 2.82-3.03, 5 Pd 2.83-3.02
7 Pd 0.6521 0.3479 0.7500  6 Pd 2.83-3.02, 2 Bi 2.84, 4 Pt 2.87
8 Pd 0.9232 0.5746 0.2500  2 Pt 2.79, 3 Bi 2.82-3.03, 5 Pd 2.83-3.02
9 Pt 0.2589 0.2589 0.0000  4 Pt 2.65-2.94, 4 Pd 2.79-2.87, 2 Bi 2.92
10 Pt 0.2589 0.2589 0.5000  4 Pt 2.65-2.94, 4 Pd 2.79-2.87, 2 Bi 2.92
11 Pt 0.7411 0.7411 0.0000  4 Pt 2.65-2.94, 4 Pd 2.79-2.87, 2 Bi 2.92
12 Pt 0.7411 0.7411 0.5000  4 Pt 2.65-2.94, 4 Pd 2.79-2.87, 2 Bi 2.92

Results
DFT formation energy ... -0.0245 eV per atom
Size of the total moment ... 0.00 μB/cell
Final energy ... -5.28 eV/atom


Entry 2:
A relaxed Bi6PdPt crystal, computed with PBE.

Cell lengths 8.6140, 8.6140, 9.9678 Å; angles 125.11, 125.11, 70.67 degrees
Last column: nearest neighbours and their distance in Å.
Element x y z (fractional)
1 Bi 0.1581 0.8423 0.1598  1 Pt 2.80, 1 Pd 2.81
2 Bi 0.1577 0.8419 0.8402  1 Pt 2.80, 1 Pd 2.81
3 Bi 0.1826 0.5019 0.3418  1 Pd 2.80, 1 Pt 2.81
4 Bi 0.3398 0.3398 0.9941  2 Pt 2.81, 1 Bi 3.15
5 Bi 0.3411 0.3411 0.6799  2 Pd 2.80
6 Bi 0.4981 0.8174 0.6582  1 Pd 2.80, 1 Pt 2.81
7 Bi 0.5019 0.1826 0.3418  1 Pd 2.80, 1 Pt 2.81
8 Bi 0.6589 0.6589 0.3201  2 Pd 2.80
9 Bi 0.6602 0.6602 0.0059  2 Pt 2.81, 1 Bi 3.15
10 Bi 0.8174 0.4981 0.6582  1 Pd 2.80, 1 Pt 2.81
11 Bi 0.8423 0.1581 0.1598  1 Pt 2.80, 1 Pd 2.81
12 Bi 0.8419 0.1577 0.8402  1 Pt 2.80, 1 Pd 2.81
13 Pd 0.0000 0.5000 0.5000  6 Bi 2.80-2.81
14 Pd 0.5000 0.0000 0.5000  6 Bi 2.80-2.81
15 Pt 0.0000 0.5000 0.0000  6 Bi 2.80-2.81
16 Pt 0.5000 0.0000 0.0000  6 Bi 2.80-2.81

Results
DFT formation energy ... -0.1611 eV per atom
Size of the total moment ... 0.00 μB/cell
Final energy ... -4.48 eV/atom
Energy above the lowest structure with this stoichiometry ... 0.00 eV/f.u.


Entry 3:
A relaxed BiPdPt2 crystal, computed with PBE.

Cell lengths 3.9570, 3.9570, 19.6607 Å; angles 90.00, 90.00, 90.00 degrees
Last column: nearest neighbours and their distance in Å.
Element x y z (fractional)
1 Bi 0.0000 0.0000 0.0000  4 Pd 2.80, 4 Pt 2.85
2 Bi 0.0000 0.5000 0.2500  4 Pd 2.80, 4 Pt 2.85
3 Bi 0.5000 0.0000 0.7500  4 Pd 2.80, 4 Pt 2.85
4 Bi 0.5000 0.5000 0.5000  4 Pd 2.80, 4 Pt 2.85
5 Pd 0.0000 0.0000 0.5000  4 Bi 2.80, 4 Pt 2.80
6 Pd 0.0000 0.5000 0.7500  4 Bi 2.80, 4 Pt 2.80
7 Pd 0.5000 0.0000 0.2500  4 Bi 2.80, 4 Pt 2.80
8 Pd 0.5000 0.5000 0.0000  4 Bi 2.80, 4 Pt 2.80
9 Pt 0.2328 0.2500 0.6250  4 Pt 2.70-2.90, 2 Pd 2.80, 2 Bi 2.85
10 Pt 0.2500 0.7328 0.8750  4 Pt 2.70-2.90, 2 Pd 2.80, 2 Bi 2.85
11 Pt 0.2500 0.7672 0.3750  4 Pt 2.70-2.90, 2 Pd 2.80, 2 Bi 2.85
12 Pt 0.2672 0.2500 0.1250  4 Pt 2.70-2.90, 2 Pd 2.80, 2 Bi 2.85
13 Pt 0.7328 0.7500 0.1250  4 Pt 2.70-2.90, 2 Pd 2.80, 2 Bi 2.85
14 Pt 0.7500 0.2328 0.3750  4 Pt 2.70-2.90, 2 Pd 2.80, 2 Bi 2.85
15 Pt 0.7500 0.2672 0.8750  4 Pt 2.70-2.90, 2 Pd 2.80, 2 Bi 2.85
16 Pt 0.7672 0.7500 0.6250  4 Pt 2.70-2.90, 2 Pd 2.80, 2 Bi 2.85

Results
DFT formation energy ... -0.0109 eV per atom
Size of the total moment ... 0.00 μB/cell
Final energy ... -5.30 eV/atom


Entry 4:
A relaxed BiPd6Pt3 crystal, computed with PBE.

Cell lengths 8.7480, 4.1569, 10.5494 Å; angles 90.00, 113.88, 90.00 degrees
Last column: nearest neighbours and their distance in Å.
Element x y z (fractional)
1 Bi 0.0474 0.2500 0.2207  6 Pd 2.70-2.97, 1 Pt 2.99
2 Bi 0.9526 0.7500 0.7793  6 Pd 2.70-2.97, 1 Pt 2.99
3 Pd 0.1224 0.2500 0.9704  4 Pd 2.70-2.93, 3 Bi 2.86-2.97, 2 Pt 3.02
4 Pd 0.2212 0.7500 0.7138  4 Pt 2.69-2.95, 4 Pd 2.70-2.89, 1 Bi 2.70
5 Pd 0.2353 0.7500 0.4525  6 Pt 2.75-2.92, 4 Pd 2.81-3.00
6 Pd 0.2376 0.7500 0.1840  7 Pd 2.77-2.93, 2 Bi 2.79, 3 Pt 2.79-3.03
7 Pd 0.4200 0.2500 0.6646  4 Pt 2.62-2.80, 5 Pd 2.71-2.89
8 Pd 0.4415 0.2500 0.1622  4 Pt 2.65-2.66, 6 Pd 2.70-2.81
9 Pd 0.5585 0.7500 0.8378  4 Pt 2.65-2.66, 6 Pd 2.70-2.81
10 Pd 0.5800 0.7500 0.3354  4 Pt 2.62-2.80, 5 Pd 2.71-2.89
11 Pd 0.7624 0.2500 0.8160  7 Pd 2.77-2.93, 2 Bi 2.79, 3 Pt 2.79-3.03
12 Pd 0.7647 0.2500 0.5475  6 Pt 2.75-2.92, 4 Pd 2.81-3.00
13 Pd 0.7788 0.2500 0.2862  4 Pt 2.69-2.95, 4 Pd 2.70-2.89, 1 Bi 2.70
14 Pd 0.8776 0.7500 0.0296  4 Pd 2.70-2.93, 3 Bi 2.86-2.97, 2 Pt 3.02
15 Pt 0.0936 0.2500 0.5382  2 Pt 2.57, 5 Pd 2.62-2.75
16 Pt 0.3817 0.7500 0.9914  5 Pd 2.65-2.79, 2 Pt 2.89
17 Pt 0.4123 0.2500 0.4036  7 Pd 2.66-2.83, 2 Pt 2.88
18 Pt 0.5877 0.7500 0.5964  7 Pd 2.66-2.83, 2 Pt 2.88
19 Pt 0.6183 0.2500 0.0086  5 Pd 2.65-2.79, 2 Pt 2.89
20 Pt 0.9064 0.7500 0.4618  2 Pt 2.57, 5 Pd 2.62-2.75

Results
DFT formation energy ... 0.0373 eV per atom
Size of the total moment ... 0.00 μB/cell
Final energy ... -5.28 eV/atom


Entry 5:
A relaxed BiPd12Pt4 crystal, computed with PBE.

Cell lengths 7.1821, 7.1821, 7.1821 Å; angles 109.47, 109.47, 109.47 degrees
Last column: nearest neighbours and their distance in Å.
Element x y z (fractional)
1 Bi 0.0000 0.0000 0.0000  6 Pd 2.49
2 Pd 0.0000 0.3008 0.3008  1 Bi 2.49, 4 Pd 2.65
3 Pd 0.0000 0.6992 0.6992  1 Bi 2.49, 4 Pd 2.65
4 Pd 0.2500 0.5000 0.7500  8 Pd 2.65-2.93, 4 Pt 2.93
5 Pd 0.2500 0.7500 0.5000  8 Pd 2.65-2.93, 4 Pt 2.93
6 Pd 0.3008 0.0000 0.3008  1 Bi 2.49, 4 Pd 2.65
7 Pd 0.3008 0.3008 0.0000  1 Bi 2.49, 4 Pd 2.65
8 Pd 0.5000 0.2500 0.7500  8 Pd 2.65-2.93, 4 Pt 2.93
9 Pd 0.5000 0.7500 0.2500  8 Pd 2.65-2.93, 4 Pt 2.93
10 Pd 0.6992 0.0000 0.6992  1 Bi 2.49, 4 Pd 2.65
11 Pd 0.6992 0.6992 0.0000  1 Bi 2.49, 4 Pd 2.65
12 Pd 0.7500 0.2500 0.5000  8 Pd 2.65-2.93, 4 Pt 2.93
13 Pd 0.7500 0.5000 0.2500  8 Pd 2.65-2.93, 4 Pt 2.93
14 Pt 0.0000 0.0000 0.5000  12 Pd 2.93-2.96
15 Pt 0.0000 0.5000 0.0000  12 Pd 2.93-2.96
16 Pt 0.5000 0.0000 0.0000  12 Pd 2.93-2.96
17 Pt 0.5000 0.5000 0.5000  12 Pd 2.93-2.96

Results
DFT formation energy ... 0.1981 eV per atom
Size of the total moment ... 0.00 μB/cell
Final energy ... -5.12 eV/atom


Entry 6:
A relaxed BiPd3Pt crystal, computed with PBE.

Cell lengths 4.8996, 4.8996, 4.8996 Å; angles 90.00, 90.00, 90.00 degrees
Last column: nearest neighbours and their distance in Å.
Element x y z (fractional)
1 Bi 0.0000 0.0000 0.0000  12 Pd 3.46
2 Pd 0.0000 0.5000 0.5000  2 Pt 2.45
3 Pd 0.5000 0.0000 0.5000  2 Pt 2.45
4 Pd 0.5000 0.5000 0.0000  2 Pt 2.45
5 Pt 0.5000 0.5000 0.5000  6 Pd 2.45

Results
DFT formation energy ... 0.7285 eV per atom
Size of the total moment ... 0.00 μB/cell
Final energy ... -4.37 eV/atom
Energy above the lowest structure with this stoichiometry ... 4.14 eV/f.u.


Q: What is the size of the total moment in the fourth record?
A: 0.00 μB/cell


Q: Which of these has the highest final energy?
A: BiPd3Pt


Q: final energy of number 2 (Bi6PdPt)?
A: -4.48 eV/atom


Q: Number 6 is which compound?
A: BiPd3Pt